Below is a geometry-optimized Ca2HgPb structure, with properties calculated at the PBEsol level.

abc: 3.846 5.317 5.317
angles: 90.00 90.00 90.00
Fractional coordinates of all 4 atoms:
Pb 0.500 0.500 0.125
Hg 0.500 0.000 0.625
Ca 0.000 0.000 0.125
Ca 0.000 0.500 0.625

M_tot ... 0.0 μB/cell
ΔE_f ... -0.618 eV/atom
N(E_F) ... 0.352 states/eV/atom